First-principles (PBE-GGA) data for TbY2V after structural relaxation, as listed in the Alexandria database.

Properties
- ΔE_f: 618.4 meV/atom
- DOS(E_F): 6.78 states/eV/f.u.
- Space group: R-3m

Lattice parameters (Å, degrees): 3.3880 3.3880 11.6542 81.64 81.64 60.00
Closest atoms and distances in Å follow each position.
Atoms (fractional coordinates):
Y 0.0817 0.0817 0.7548  1 V 2.82
Y 0.9183 0.9183 0.2452  1 V 2.82
Tb 0.5000 0.5000 0.5000  6 Tb 3.39, 6 Y 3.52
V 0.0000 0.0000 0.0000  2 Y 2.82